A geometry-optimized CsSmTc2O8 structure. Source: the Alexandria database, functional PBE.

Unit cell a=6.1034 b=6.1034 c=8.5155 alpha=90.00 beta=90.00 gamma=120.00
Space group P-3 (No. 147)
Unique sites:
1 Cs 0.0000 0.0000 0.0000
2 Sm 0.0000 0.0000 0.5000
3 Tc 0.3333 0.6667 0.7378
4 O 0.1718 0.3466 0.6663
5 O 0.3333 0.6667 0.9432

Computed properties:
The calculation puts the raw formation energy at -1924 meV per atom. The calculation puts the total magnetic moment at 0.17 μB/atom. Its crystal system is trigonal.

=====

A geometry-optimized Zn2CdSe structure. Source: the Alexandria database, functional PBE.

Unit cell a=6.438 b=3.754 c=7.255 alpha=90.00 beta=106.90 gamma=90.00
Space group C2/m (No. 12)
Unique sites:
1 Zn 0.238 0.000 0.220
2 Cd 0.000 0.000 0.500
3 Se 0.000 0.500 0.000

Computed properties:
The calculation puts the raw formation energy at -98 meV per atom. The calculation puts the total magnetic moment at 0.00 μB/atom. For the energy above the most stable polymorph in this dataset, the calculation gives 0 meV/atom. Its crystal system is monoclinic.

=====

A geometry-optimized NaSiSn structure. Source: the Alexandria database, functional PBE.

Unit cell a=4.916 b=3.648 c=8.446 alpha=90.00 beta=104.63 gamma=90.00
Space group P2_1/m (No. 11)
Unique sites:
1 Na 0.204 0.250 0.374
2 Si 0.156 0.750 0.991
3 Sn 0.357 0.250 0.778

Computed properties:
The calculation puts the raw formation energy at 26 meV per atom. The calculation puts the total magnetic moment at 0.00 μB/atom. For the energy above the most stable polymorph in this dataset, the calculation gives 43 meV/atom. Its crystal system is monoclinic.

=====

A geometry-optimized SmAl4Ag structure. Source: the Alexandria database, functional PBE.

Unit cell a=5.5783 b=5.5783 c=8.7454 alpha=90.00 beta=90.00 gamma=120.00
Space group P-3m1 (No. 164)
Unique sites:
1 Sm 0.3333 0.6667 0.0727
2 Al 0.0000 0.0000 0.0000
3 Al 0.0000 0.0000 0.5000
4 Al 0.1711 0.3422 0.7461
5 Ag 0.3333 0.6667 0.4643

Computed properties:
For the formation enthalpy at 0 K, the calculation gives -0.1686 eV/atom. The calculation puts the total magnetic moment at 0.00 μB/atom. For the energy above the most stable polymorph in this dataset, the calculation gives 74 meV/atom. Its crystal system is trigonal.

=====

A geometry-optimized Sr2YIn structure. Source: the Alexandria database, functional PBE.

Unit cell a=7.354 b=10.263 c=3.913 alpha=90.00 beta=90.00 gamma=90.00
Space group Cmmm (No. 65)
Unique sites:
1 Sr 0.250 0.250 0.000
2 Y 0.000 0.000 0.500
3 In 0.000 0.500 0.500

Computed properties:
For the formation enthalpy at 0 K, the calculation gives -0.0092 eV/atom. The calculation puts the total magnetic moment at 0.00 μB/atom. Its crystal system is orthorhombic.

=====

A geometry-optimized LaScMn structure. Source: the Alexandria database, functional PBE.

Unit cell a=3.408 b=3.408 c=12.717 alpha=90.00 beta=90.00 gamma=90.00
Space group I4mm (No. 107)
Unique sites:
1 La 0.000 0.000 0.000
2 Sc 0.000 0.000 0.722
3 Mn 0.000 0.000 0.340

Computed properties:
For the formation enthalpy at 0 K, the calculation gives 0.1991 eV/atom. The calculation puts the total magnetic moment at 0.84 μB/atom. For the energy above the most stable polymorph in this dataset, the calculation gives 0 meV/atom. Its crystal system is tetragonal.

=====

A geometry-optimized Sc2MnW structure. Source: the Alexandria database, functional PBE.

Unit cell a=2.988 b=4.169 c=5.870 alpha=90.00 beta=102.33 gamma=90.00
Space group Pm (No. 6)
Unique sites:
1 Sc 0.000 0.000 0.000
2 Sc 0.250 0.500 0.681
3 Mn 0.514 0.000 0.435
4 W 0.672 0.500 0.247

Computed properties:
For the formation enthalpy at 0 K, the calculation gives 0.2204 eV/atom. The calculation puts the total magnetic moment at 0.19 μB/atom. For the energy above the most stable polymorph in this dataset, the calculation gives 174 meV/atom. Its crystal system is monoclinic.

=====

A geometry-optimized LiCuW2 structure. Source: the Alexandria database, functional PBE.

Unit cell a=8.950 b=2.591 c=5.050 alpha=90.00 beta=94.87 gamma=90.00
Space group Cm (No. 8)
Unique sites:
1 Li 0.000 0.000 0.000
2 Cu 0.248 0.500 0.223
3 W 0.244 0.000 0.742
4 W 0.486 0.000 0.493

Computed properties:
For the formation enthalpy at 0 K, the calculation gives 0.4548 eV/atom. The calculation puts the total magnetic moment at 0.00 μB/atom. For the energy above the most stable polymorph in this dataset, the calculation gives 209 meV/atom. Its crystal system is monoclinic.

=====

- Look up the total magnetic moment of the fourth one.
  0.00 μB/atom